# 1
A plane-wave DFT calculation with PBE was carried out for a geometry-optimized TaCr2Rh structure.

As for the crystal system: tetragonal. For the total magnetic moment, the calculation gives 0.0 μB/f.u. As for the density: 10.64 g/cm3. The formation enthalpy at 0 K is 0.59 eV per atom. The calculation puts the density of states at the Fermi level at 1.032 states/eV/atom.

The structure belongs to space group I-42d (No. 122); the cell edges are 6.9188, 6.9188 and 5.0572 Å and the angles 90.00°, 90.00° and 90.00°. The asymmetric unit holds Ta at (0.0000, 0.0000, 0.0000), Cr at (0.2334, 0.2500, 0.6250) and Rh at (0.0000, 0.0000, 0.5000).


# 2
A plane-wave DFT calculation with PBE was carried out for a geometry-optimized TaCrRh6 structure.

As for the crystal system: tetragonal. For the total magnetic moment, the calculation gives 1.2 μB/f.u. As for the density: 12.33 g/cm3. The formation enthalpy at 0 K is -0.34 eV per atom. The calculation puts the density of states at the Fermi level at 0.968 states/eV/atom.

The structure belongs to space group P4/mmm (No. 123); the cell edges are 5.4565, 5.4565 and 3.8462 Å and the angles 90.00°, 90.00° and 90.00°. The asymmetric unit holds Ta at (0.0000, 0.0000, 0.0000), Cr at (0.5000, 0.5000, 0.0000), Rh at (0.0000, 0.5000, 0.0000) and Rh at (0.2547, 0.2547, 0.5000).


# 3
A plane-wave DFT calculation with PBE was carried out for a geometry-optimized TaCr2Rh2 structure.

As for the crystal system: tetragonal. For the total magnetic moment, the calculation gives 0.0 μB/f.u. As for the density: 11.42 g/cm3. The formation enthalpy at 0 K is 0.02 eV per atom. The calculation puts the density of states at the Fermi level at 0.949 states/eV/atom.

The structure belongs to space group P4/mbm (No. 127); the cell edges are 7.2839, 7.2839 and 2.6896 Å and the angles 90.00°, 90.00° and 90.00°. The asymmetric unit holds Ta at (0.0000, 0.0000, 0.0000), Cr at (0.1695, 0.3305, 0.5000) and Rh at (0.1283, 0.6283, 0.0000).


# 4
A plane-wave DFT calculation with PBE was carried out for a geometry-optimized TaCr3Rh6 structure.

As for the crystal system: monoclinic. For the total magnetic moment, the calculation gives 2.1 μB/f.u. As for the density: 11.23 g/cm3. The formation enthalpy at 0 K is -0.21 eV per atom. The calculation puts the density of states at the Fermi level at 1.062 states/eV/atom.

The structure belongs to space group P2_1/m (No. 11); the cell edges are 8.4490, 3.8639 and 8.6517 Å and the angles 90.00°, 91.82° and 90.00°. The asymmetric unit holds Ta at (0.0650, 0.2500, 0.3824), Cr at (0.2539, 0.2500, 0.9988), Cr at (0.3449, 0.7500, 0.8072), Cr at (0.4442, 0.2500, 0.6061), Rh at (0.0577, 0.7500, 0.9038), Rh at (0.1503, 0.2500, 0.7006), Rh at (0.1565, 0.7500, 0.2009), Rh at (0.2598, 0.7500, 0.5053), Rh at (0.3726, 0.2500, 0.3068) and Rh at (0.4589, 0.7500, 0.1007).


# 5
A plane-wave DFT calculation with PBE was carried out for a geometry-optimized TaCrRh2 structure.

As for the crystal system: tetragonal. For the total magnetic moment, the calculation gives 2.5 μB/f.u. As for the density: 12.28 g/cm3. The formation enthalpy at 0 K is -0.26 eV per atom. The calculation puts the density of states at the Fermi level at 0.942 states/eV/atom.

The structure belongs to space group I-4m2 (No. 119); the cell edges are 3.8503, 3.8503 and 8.0009 Å and the angles 90.00°, 90.00° and 90.00°. The asymmetric unit holds Ta at (0.0000, 0.0000, 0.0000), Cr at (0.0000, 0.5000, 0.2500), Rh at (0.0000, 0.0000, 0.5000) and Rh at (0.0000, 0.5000, 0.7500).


# 6
A plane-wave DFT calculation with PBE was carried out for a geometry-optimized Ta3CrRh structure.

As for the crystal system: cubic. For the total magnetic moment, the calculation gives 0.0 μB/f.u. As for the density: 12.40 g/cm3. The formation enthalpy at 0 K is 0.98 eV per atom. The calculation puts the density of states at the Fermi level at 1.212 states/eV/atom.

The structure belongs to space group Pm-3m (No. 221); the cell edges are 4.5378, 4.5378 and 4.5378 Å and the angles 90.00°, 90.00° and 90.00°. The asymmetric unit holds Ta at (0.0000, 0.0000, 0.5000), Cr at (0.0000, 0.0000, 0.0000) and Rh at (0.5000, 0.5000, 0.5000).


# 7
A plane-wave DFT calculation with PBE was carried out for a geometry-optimized TaCrRh2 structure.

As for the crystal system: tetragonal. For the total magnetic moment, the calculation gives 1.8 μB/f.u. As for the density: 12.41 g/cm3. The formation enthalpy at 0 K is -0.30 eV per atom. The calculation puts the density of states at the Fermi level at 0.886 states/eV/atom.

The structure belongs to space group I4/mmm (No. 139); the cell edges are 3.9383, 3.9383 and 7.5690 Å and the angles 90.00°, 90.00° and 90.00°. The asymmetric unit holds Ta at (0.0000, 0.0000, 0.0000), Cr at (0.0000, 0.0000, 0.5000) and Rh at (0.0000, 0.5000, 0.2500).


# 8
A plane-wave DFT calculation with PBE was carried out for a geometry-optimized TaCr2Rh structure.

As for the crystal system: orthorhombic. For the total magnetic moment, the calculation gives 0.0 μB/f.u. As for the density: 11.39 g/cm3. The formation enthalpy at 0 K is 0.05 eV per atom. The calculation puts the density of states at the Fermi level at 1.301 states/eV/atom.

The structure belongs to space group Immm (No. 71); the cell edges are 3.1999, 4.1656 and 8.4819 Å and the angles 90.00°, 90.00° and 90.00°. The asymmetric unit holds Ta at (0.0000, 0.0000, 0.0000), Cr at (0.0000, 0.5000, 0.2574) and Rh at (0.0000, 0.0000, 0.5000).


# 9
A plane-wave DFT calculation with PBE was carried out for a geometry-optimized TaCr2Rh structure.

As for the crystal system: orthorhombic. For the total magnetic moment, the calculation gives 0.0 μB/f.u. As for the density: 11.45 g/cm3. The formation enthalpy at 0 K is 0.05 eV per atom. The calculation puts the density of states at the Fermi level at 0.894 states/eV/atom.

The structure belongs to space group Cmm2 (No. 35); the cell edges are 3.0961, 4.4193 and 8.2195 Å and the angles 90.00°, 90.00° and 90.00°. The asymmetric unit holds Ta at (0.0000, 0.0000, 0.0000), Cr at (0.0000, 0.0000, 0.4795), Cr at (0.0000, 0.5000, 0.2655) and Rh at (0.0000, 0.5000, 0.7275).


# 10
A plane-wave DFT calculation with PBE was carried out for a geometry-optimized TaCr2Rh structure.

As for the crystal system: cubic. For the total magnetic moment, the calculation gives 2.0 μB/f.u. As for the density: 11.06 g/cm3. The formation enthalpy at 0 K is -0.06 eV per atom. The calculation puts the density of states at the Fermi level at 0.507 states/eV/atom.

The structure belongs to space group F-43m (No. 216); the cell edges are 6.1531, 6.1531 and 6.1531 Å and the angles 90.00°, 90.00° and 90.00°. The asymmetric unit holds Ta at (0.0000, 0.0000, 0.0000), Cr at (0.0000, 0.0000, 0.5000), Cr at (0.2500, 0.2500, 0.2500) and Rh at (0.2500, 0.2500, 0.7500).


# 11
A plane-wave DFT calculation with PBE was carried out for a geometry-optimized TaCr2Rh structure.

As for the crystal system: tetragonal. For the total magnetic moment, the calculation gives 1.6 μB/f.u. As for the density: 11.27 g/cm3. The formation enthalpy at 0 K is -0.09 eV per atom. The calculation puts the density of states at the Fermi level at 0.843 states/eV/atom.

The structure belongs to space group P4mm (No. 99); the cell edges are 3.0154, 3.0154 and 6.2831 Å and the angles 90.00°, 90.00° and 90.00°. The asymmetric unit holds Ta at (0.0000, 0.0000, 0.0000), Cr at (0.0000, 0.0000, 0.4641), Cr at (0.5000, 0.5000, 0.2629) and Rh at (0.5000, 0.5000, 0.7317).


# 12
A plane-wave DFT calculation with PBE was carried out for a geometry-optimized TaCrRh2 structure.

As for the crystal system: orthorhombic. For the total magnetic moment, the calculation gives 0.1 μB/f.u. As for the density: 12.56 g/cm3. The formation enthalpy at 0 K is -0.25 eV per atom. The calculation puts the density of states at the Fermi level at 1.042 states/eV/atom.

The structure belongs to space group Pmmm (No. 47); the cell edges are 2.7770, 3.7706 and 5.5389 Å and the angles 90.00°, 90.00° and 90.00°. The asymmetric unit holds Ta at (0.0000, 0.0000, 0.0000), Cr at (0.0000, 0.0000, 0.5000) and Rh at (0.5000, 0.5000, 0.2637).


# 13
A plane-wave DFT calculation with PBE was carried out for a geometry-optimized TaCr2Rh structure.

As for the crystal system: orthorhombic. For the total magnetic moment, the calculation gives 0.0 μB/f.u. As for the density: 11.38 g/cm3. The formation enthalpy at 0 K is 0.13 eV per atom. The calculation puts the density of states at the Fermi level at 0.936 states/eV/atom.

The structure belongs to space group Cmmm (No. 65); the cell edges are 3.4889, 4.0180 and 8.0727 Å and the angles 90.00°, 90.00° and 90.00°. The asymmetric unit holds Ta at (0.0000, 0.0000, 0.0000), Cr at (0.0000, 0.5000, 0.2702) and Rh at (0.0000, 0.0000, 0.5000).


# 14
A plane-wave DFT calculation with PBE was carried out for a geometry-optimized TaCrRh2 structure.

As for the crystal system: tetragonal. For the total magnetic moment, the calculation gives 2.4 μB/f.u. As for the density: 12.33 g/cm3. The formation enthalpy at 0 K is -0.33 eV per atom. The calculation puts the density of states at the Fermi level at 0.884 states/eV/atom.

The structure belongs to space group P4/mmm (No. 123); the cell edges are 3.9693, 3.9693 and 3.7498 Å and the angles 90.00°, 90.00° and 90.00°. The asymmetric unit holds Ta at (0.0000, 0.0000, 0.0000), Cr at (0.5000, 0.5000, 0.0000) and Rh at (0.0000, 0.5000, 0.5000).